# 1
VASP calculation (PBE) on a geometry-optimized YMgSn3 structure.

The space group is Pm-3m (No. 221) and the conventional cell measures 5.319, 5.319 and 5.319 Å, with angles of 90.00, 90.00 and 90.00 degrees. The inequivalent atoms are Y at (0.000, 0.000, 0.000), Mg at (0.500, 0.500, 0.500) and Sn at (0.000, 0.500, 0.500).

As for the density of states at the Fermi level: 2.9 states/eV/cell. The energy relative to the elements comes out at 0.22 eV/atom. The energy above the most stable polymorph in this dataset comes out at 610 meV/atom. As for the density: 5.18 g/cm3. Its spin magnetization is 0.00 μB/f.u.


# 2
VASP calculation (PBE) on a geometry-optimized PuScGa2O8 structure.

The space group is I-4m2 (No. 119) and the conventional cell measures 6.711, 6.711 and 6.641 Å, with angles of 90.00, 90.00 and 90.00 degrees. The inequivalent atoms are Pu at (0.000, 0.000, 0.000), Sc at (0.000, 0.500, 0.750), Ga at (0.000, 0.000, 0.500), Ga at (0.000, 0.500, 0.250), O at (0.000, 0.190, 0.701) and O at (0.000, 0.305, 0.054).

The formation energy (no corrections) is -2.101 eV/atom. As for the density of states at the Fermi level: 10.7 states/eV/cell. As for the density: 6.18 g/cm3. Its spin magnetization is 1.00 μB/f.u.


# 3
VASP calculation (PBE) on a geometry-optimized VFe14Os structure.

The space group is Cmmm (No. 65) and the conventional cell measures 5.754, 8.119 and 8.092 Å, with angles of 90.00, 90.00 and 90.00 degrees. The inequivalent atoms are V at (0.000, 0.000, 0.000), Fe at (0.000, 0.000, 0.500), Fe at (0.000, 0.251, 0.252), Fe at (0.000, 0.500, 0.500), Fe at (0.247, 0.000, 0.254), Fe at (0.250, 0.250, 0.000), Fe at (0.250, 0.250, 0.500) and Os at (0.000, 0.500, 0.000).

As for the density of states at the Fermi level: 21.4 states/eV/cell. The energy relative to the elements comes out at -0.02 eV/atom. As for the density: 8.99 g/cm3. Its spin magnetization is 30.84 μB/f.u.


# 4
VASP calculation (PBE) on a geometry-optimized Mg2AlAg structure.

The space group is C2/m (No. 12) and the conventional cell measures 9.591, 3.098 and 5.310 Å, with angles of 90.00, 100.99 and 90.00 degrees. The inequivalent atoms are Mg at (0.249, 0.000, 0.250), Al at (0.000, 0.000, 0.500) and Ag at (0.000, 0.500, 0.000).

As for the density of states at the Fermi level: 2.7 states/eV/cell. The energy relative to the elements comes out at -0.03 eV/atom. As for the density: 3.93 g/cm3. Its spin magnetization is 0.00 μB/f.u.


Please write out number 3 again, unchanged.
VASP calculation (PBE) on a geometry-optimized VFe14Os structure.

The space group is Cmmm (No. 65) and the conventional cell measures 5.754, 8.119 and 8.092 Å, with angles of 90.00, 90.00 and 90.00 degrees. The inequivalent atoms are V at (0.000, 0.000, 0.000), Fe at (0.000, 0.000, 0.500), Fe at (0.000, 0.251, 0.252), Fe at (0.000, 0.500, 0.500), Fe at (0.247, 0.000, 0.254), Fe at (0.250, 0.250, 0.000), Fe at (0.250, 0.250, 0.500) and Os at (0.000, 0.500, 0.000).

As for the density of states at the Fermi level: 21.4 states/eV/cell. The energy relative to the elements comes out at -0.02 eV/atom. As for the density: 8.99 g/cm3. Its spin magnetization is 30.84 μB/f.u.


What is the formula in the second record? PuScGa2O8